1.
# LaMg2ZnN, optimized geometry, DFT PBE-GGA
data_LaMg2ZnN
_chemical_formula_sum 'La1 Mg2 Zn1 N1'
_cell_length_a 4.3731
_cell_length_b 4.3731
_cell_length_c 5.1220
_cell_angle_alpha 90.00
_cell_angle_beta 90.00
_cell_angle_gamma 90.00
_symmetry_space_group_name_H-M 'P 4/m m m'
_symmetry_Int_Tables_number 123
_symmetry_space_group_name_Hall '-P 4 2'
loop_
_atom_site_label
_atom_site_type_symbol
_atom_site_fract_x
_atom_site_fract_y
_atom_site_fract_z
La1 La 0.0000 0.0000 0.0000
Mg1 Mg 0.0000 0.5000 0.5000
Zn1 Zn 0.5000 0.5000 0.0000
N1 N 0.0000 0.0000 0.5000
# size of the total moment = 0.00 μB per cell
# DOS(E_F) = 0.360 states/eV per atom
# raw formation energy = -405 meV/atom
# mass density = 4.525 g cm⁻³
# VASP energy = -3.9478 eV/atom

***

2.
# Pu2InSe5, optimized geometry, DFT PBE-GGA
data_Pu2InSe5
_chemical_formula_sum 'Pu8 In4 Se20'
_cell_length_a 5.5902
_cell_length_b 13.5254
_cell_length_c 13.6616
_cell_angle_alpha 90.00
_cell_angle_beta 90.00
_cell_angle_gamma 90.00
_symmetry_space_group_name_H-M 'C m c m'
_symmetry_Int_Tables_number 63
_symmetry_space_group_name_Hall '-C 2c 2'
loop_
_atom_site_label
_atom_site_type_symbol
_atom_site_fract_x
_atom_site_fract_y
_atom_site_fract_z
Pu1 Pu 0.0000 0.1474 0.0607
In1 In 0.0000 0.2008 0.7500
Se1 Se 0.0000 0.0482 0.6172
Se2 Se 0.0000 0.2484 0.2500
Se3 Se 0.0000 0.3187 0.5701
# size of the total moment = 35.88 μB per cell
# DOS(E_F) = 2.476 states/eV per atom
# raw formation energy = -972 meV/atom
# mass density = 6.415 g cm⁻³
# VASP energy = -7.0753 eV/atom

***

3.
# Ce2ScOs, optimized geometry, DFT PBE-GGA
data_Ce2ScOs
_chemical_formula_sum 'Ce6 Sc3 Os3'
_cell_length_a 3.6296
_cell_length_b 3.6296
_cell_length_c 29.2687
_cell_angle_alpha 90.00
_cell_angle_beta 90.00
_cell_angle_gamma 120.00
_symmetry_space_group_name_H-M 'R -3 m'
_symmetry_Int_Tables_number 166
_symmetry_space_group_name_Hall '-R 3 2"'
loop_
_atom_site_label
_atom_site_type_symbol
_atom_site_fract_x
_atom_site_fract_y
_atom_site_fract_z
Ce1 Ce 0.0000 0.0000 0.1055
Sc1 Sc 0.0000 0.0000 0.0000
Os1 Os 0.0000 0.0000 0.5000
# size of the total moment = 2.54 μB per cell
# DOS(E_F) = 2.347 states/eV per atom
# ΔE_f = 330 meV per atom
# distance to the lowest polymorph of the same formula = 44.0 kJ per mole of atoms
# mass density = 7.689 g cm⁻³
# VASP energy = -7.0277 eV/atom